[1]
# PBE-GGA LaMnAg2Os, optimized geometry
# Size of the total moment in μB/f.u.: 3.0
# Theoretical density in g/cm³: 8.30
# Final energy in eV/atom: -5.59
# Energy of formation from the pure elements in eV per formula unit: 3.101
# N(E_F) in states/eV per atom: 0.843
data_LaMnAg2Os
_cell_length_a 5.1605
_cell_length_b 5.1605
_cell_length_c 4.5044
_cell_angle_alpha 90.00
_cell_angle_beta 90.00
_cell_angle_gamma 90.00
_space_group_name_H-M_alt 'P 4/m m m'
_space_group_IT_number 123
_space_group_name_Hall '-P 4 2'
loop_
_atom_site_label
_atom_site_type_symbol
_atom_site_fract_x
_atom_site_fract_y
_atom_site_fract_z
La1 La 0.0000 0.0000 0.0000
Mn1 Mn 0.5000 0.5000 0.0000
Ag1 Ag 0.0000 0.5000 0.5000
Os1 Os 0.5000 0.5000 0.5000

=====

[2]
# PBE-GGA LaPmMnAg, optimized geometry
# Size of the total moment in μB/f.u.: 3.1
# Theoretical density in g/cm³: 7.10
# Final energy in eV/atom: -5.37
# Energy of formation from the pure elements in eV per formula unit: 0.199
# N(E_F) in states/eV per atom: 1.071
data_LaPmMnAg
_cell_length_a 7.4761
_cell_length_b 7.4761
_cell_length_c 7.4761
_cell_angle_alpha 90.00
_cell_angle_beta 90.00
_cell_angle_gamma 90.00
_space_group_name_H-M_alt 'F -4 3 m'
_space_group_IT_number 216
_space_group_name_Hall 'F -4 2 3'
loop_
_atom_site_label
_atom_site_type_symbol
_atom_site_fract_x
_atom_site_fract_y
_atom_site_fract_z
La1 La 0.0000 0.0000 0.0000
Pm1 Pm 0.0000 0.0000 0.5000
Mn1 Mn 0.2500 0.2500 0.2500
Ag1 Ag 0.2500 0.2500 0.7500

=====

[3]
# PBE-GGA LaPrMnAg, optimized geometry
# Size of the total moment in μB/f.u.: 3.1
# Theoretical density in g/cm³: 6.89
# Final energy in eV/atom: -5.37
# Energy of formation from the pure elements in eV per formula unit: 0.239
# N(E_F) in states/eV per atom: 1.076
data_LaPrMnAg
_cell_length_a 7.5280
_cell_length_b 7.5280
_cell_length_c 7.5280
_cell_angle_alpha 90.00
_cell_angle_beta 90.00
_cell_angle_gamma 90.00
_space_group_name_H-M_alt 'F -4 3 m'
_space_group_IT_number 216
_space_group_name_Hall 'F -4 2 3'
loop_
_atom_site_label
_atom_site_type_symbol
_atom_site_fract_x
_atom_site_fract_y
_atom_site_fract_z
La1 La 0.0000 0.0000 0.0000
Pr1 Pr 0.0000 0.0000 0.5000
Mn1 Mn 0.2500 0.2500 0.2500
Ag1 Ag 0.2500 0.2500 0.7500

=====

[4]
# PBE-GGA LaSmMnAg, optimized geometry
# Size of the total moment in μB/f.u.: 3.1
# Theoretical density in g/cm³: 7.23
# Final energy in eV/atom: -5.37
# Energy of formation from the pure elements in eV per formula unit: 0.188
# N(E_F) in states/eV per atom: 1.046
data_LaSmMnAg
_cell_length_a 7.4598
_cell_length_b 7.4598
_cell_length_c 7.4598
_cell_angle_alpha 90.00
_cell_angle_beta 90.00
_cell_angle_gamma 90.00
_space_group_name_H-M_alt 'F -4 3 m'
_space_group_IT_number 216
_space_group_name_Hall 'F -4 2 3'
loop_
_atom_site_label
_atom_site_type_symbol
_atom_site_fract_x
_atom_site_fract_y
_atom_site_fract_z
La1 La 0.0000 0.0000 0.0000
Sm1 Sm 0.0000 0.0000 0.5000
Mn1 Mn 0.2500 0.2500 0.2500
Ag1 Ag 0.2500 0.2500 0.7500